(1)
Here is RbBeNiTe3 after structural relaxation from the Open Quantum Materials Database. Energies are from GGA-PBE.

As for the total moment: 0.1 μB/cell. The value obtained for the total energy is -87.65 eV per cell.

Unit cell a=3.9641 b=15.8122 c=10.9109 alpha=90.00 beta=90.00 gamma=90.00
Space group Cmcm (No. 63)
Unique sites:
Rb1 0.0000 0.2485 0.2500 [4 per cell]
Be1 0.0000 0.0376 0.7500 [4 per cell]
Ni1 0.0000 0.5000 0.0000 [4 per cell]
Te1 0.0000 0.1040 0.5457 [8 per cell]
Te2 0.0000 0.4495 0.7500 [4 per cell]

***

(2)
Here is PaAsNO after structural relaxation from the Open Quantum Materials Database. Energies are from GGA-PBE.

As for the total moment: 0.0 μB/cell. The value obtained for the total energy is -61.31 eV per cell. The excess energy over the best structure of this formula in the dataset comes out at 0.563 eV per formula unit.

Unit cell a=3.5745 b=6.8389 c=6.6303 alpha=90.00 beta=90.00 gamma=90.00
Space group Pmc2_1 (No. 26)
Unique sites:
Pa1 0.0000 0.2164 0.0000 [2 per cell]
As1 0.5000 0.1500 0.3847 [2 per cell]
N1 0.0000 0.0326 0.2836 [2 per cell]
O1 0.5000 0.3660 0.9024 [2 per cell]

***

(3)
Here is GePd2W after structural relaxation from the Open Quantum Materials Database. Energies are from GGA-PBE.

As for the total moment: 0.7 μB/cell. The value obtained for the total energy is -110.71 eV per cell.

Unit cell a=6.2654 b=6.2654 c=6.2654 alpha=90.00 beta=90.00 gamma=90.00
Space group F-43m (No. 216)
Unique sites:
Ge1 0.0000 0.0000 0.0000 [4 per cell]
Pd1 0.0000 0.0000 0.5000 [4 per cell]
Pd2 0.2500 0.2500 0.7500 [4 per cell]
W1 0.2500 0.2500 0.2500 [4 per cell]

***

(4)
Here is Nd3InPt8 after structural relaxation from the Open Quantum Materials Database. Energies are from GGA-PBE.

As for the total moment: 0.0 μB/cell. The value obtained for the total energy is -229.99 eV per cell.

Unit cell a=5.4954 b=5.4954 c=26.8380 alpha=90.00 beta=90.00 gamma=120.00
Space group R3m (No. 160, hexagonal axes)
Unique sites:
Nd1 0.0000 0.0000 0.0000 [3 per cell]
Nd2 0.0000 0.0000 0.1284 [3 per cell]
Nd3 0.0000 0.0000 0.6161 [3 per cell]
In1 0.0000 0.0000 0.4909 [3 per cell]
Pt1 0.0000 0.0000 0.3113 [3 per cell]
Pt2 0.0000 0.0000 0.8116 [3 per cell]
Pt3 0.0024 0.5012 0.5618 [9 per cell]
Pt4 0.1673 0.3345 0.3938 [9 per cell]

***

(5)
Here is ZnS after structural relaxation from the Open Quantum Materials Database. Energies are from GGA-PBE.

The value obtained for the total energy is -168.37 eV per cell.

Unit cell a=3.8352 b=3.8352 c=75.2832 alpha=90.00 beta=90.00 gamma=120.00
Space group R3m (No. 160, hexagonal axes)
Unique sites:
Zn1 0.0000 0.0000 0.0000 [3 per cell]
Zn2 0.0000 0.0000 0.0833 [3 per cell]
Zn3 0.0000 0.0000 0.1667 [3 per cell]
Zn4 0.0000 0.0000 0.2917 [3 per cell]
Zn5 0.0000 0.0000 0.4583 [3 per cell]
Zn6 0.0000 0.0000 0.5833 [3 per cell]
Zn7 0.0000 0.0000 0.7083 [3 per cell]
Zn8 0.0000 0.0000 0.8750 [3 per cell]
S1 0.0000 0.0000 0.0521 [3 per cell]
S2 0.0000 0.0000 0.1354 [3 per cell]
S3 0.0000 0.0000 0.2604 [3 per cell]
S4 0.0000 0.0000 0.4271 [3 per cell]
S5 0.0000 0.0000 0.5521 [3 per cell]
S6 0.0000 0.0000 0.6771 [3 per cell]
S7 0.0000 0.0000 0.8438 [3 per cell]
S8 0.0000 0.0000 0.9688 [3 per cell]

***

(6)
Here is CsIr3 after structural relaxation from the Open Quantum Materials Database. Energies are from GGA-PBE.

As for the total moment: 0.0 μB/cell. The value obtained for the total energy is -45.87 eV per cell.

Unit cell a=8.0101 b=8.0101 c=4.4853 alpha=90.00 beta=90.00 gamma=120.00
Space group P6_3/mmc (No. 194)
Unique sites:
Cs1 0.3333 0.6667 0.2500 [2 per cell]
Ir1 0.1041 0.2082 0.7500 [6 per cell]

***

(7)
Here is MoAs after structural relaxation from the Open Quantum Materials Database. Energies are from GGA-PBE.

As for the total moment: 5.5 μB/cell. The value obtained for the total energy is -56.96 eV per cell.

Unit cell a=5.6884 b=5.6884 c=5.6884 alpha=90.00 beta=90.00 gamma=90.00
Space group F-43m (No. 216)
Unique sites:
Mo1 0.0000 0.0000 0.0000 [4 per cell]
As1 0.2500 0.2500 0.2500 [4 per cell]

***

(8)
Here is BeCoN after structural relaxation from the Open Quantum Materials Database. Energies are from GGA-PBE.

As for the total moment: 0.4 μB/cell. The value obtained for the total energy is -16.91 eV per cell.

Unit cell a=3.3924 b=3.3924 c=2.7200 alpha=90.00 beta=90.00 gamma=120.00
Space group P-6m2 (No. 187)
Unique sites:
Be1 0.0000 0.0000 0.0000 [1 per cell]
Co1 0.6667 0.3333 0.0000 [1 per cell]
N1 0.3333 0.6667 0.0000 [1 per cell]